(1)
Computed, not measured: a relaxed TlGaAu4 crystal at the GGA-PBE level of DFT.

Cell: 7.196 6.842 6.597 Å, 121.23 69.55 90.00°
Element x y z (fractional)
Ga (0.774, 0.468, 0.936)
Au (0.437, 0.109, 0.785)
Au (0.437, 0.676, 0.785)
Ga (0.226, 0.532, 0.064)
Au (0.563, 0.324, 0.215)
Au (0.249, 0.752, 0.504)
Au (0.751, 0.248, 0.496)
Au (0.000, 0.787, 0.000)
Tl (0.821, 0.799, 0.599)
Au (0.000, 0.213, 0.000)
Tl (0.179, 0.201, 0.401)
Au (0.563, 0.891, 0.215)

Properties
Energy   -37.738 eV/cell
DOS at the Fermi energy   3.70 states/eV/cell
ΔH_f (0 K)   -5.9 kJ/mol of atoms
Spin magnetization   0.0 μB per cell
Offset from the most stable computed form   0.0000 eV/atom

---

(2)
Computed, not measured: a relaxed TlGaAu4 crystal at the GGA-PBE level of DFT.

Cell: 4.694 5.559 10.759 Å, 90.00 102.60 90.00°
Element x y z (fractional)
Au (0.663, 0.750, 0.326)
Tl (0.410, 0.750, 0.820)
Au (0.789, 0.996, 0.578)
Ga (0.896, 0.250, 0.792)
Au (0.000, 0.000, 0.000)
Ga (0.104, 0.750, 0.208)
Au (0.789, 0.504, 0.578)
Tl (0.590, 0.250, 0.180)
Au (0.211, 0.496, 0.422)
Au (0.211, 0.004, 0.422)
Au (0.000, 0.500, 0.000)
Au (0.337, 0.250, 0.674)

Properties
Energy   -37.247 eV/cell
DOS at the Fermi energy   5.75 states/eV/cell
ΔH_f (0 K)   -1.9 kJ/mol of atoms
Spin magnetization   0.0 μB per cell
Offset from the most stable computed form   0.0409 eV/atom

---

(3)
Computed, not measured: a relaxed Tl2GaAu6 crystal at the GGA-PBE level of DFT.

Cell: 6.612 5.672 5.672 Å, 66.04 78.60 78.60°
Element x y z (fractional)
Au (0.653, 0.853, 0.365)
Tl (0.840, 0.343, 0.343)
Au (0.347, 0.147, 0.635)
Au (0.729, 0.844, 0.844)
Ga (0.000, 0.000, 0.000)
Tl (0.160, 0.657, 0.657)
Au (0.271, 0.156, 0.156)
Au (0.653, 0.365, 0.853)
Au (0.347, 0.635, 0.147)

Properties
Energy   -27.604 eV/cell
DOS at the Fermi energy   2.96 states/eV/cell
ΔH_f (0 K)   -1.9 kJ/mol of atoms
Spin magnetization   0.0 μB per cell

---

(4)
Computed, not measured: a relaxed TlGaAu3 crystal at the GGA-PBE level of DFT.

Cell: 6.401 7.596 9.092 Å, 97.98 90.00 90.00°
Element x y z (fractional)
Ga (0.200, 0.871, 0.075)
Tl (0.417, 0.420, 0.313)
Au (0.084, 0.955, 0.346)
Tl (0.083, 0.420, 0.813)
Au (0.416, 0.955, 0.846)
Tl (0.917, 0.580, 0.187)
Au (0.545, 0.679, 0.023)
Tl (0.583, 0.580, 0.687)
Au (0.941, 0.788, 0.858)
Au (0.916, 0.045, 0.654)
Au (0.584, 0.045, 0.154)
Ga (0.800, 0.129, 0.925)
Au (0.441, 0.212, 0.642)
Au (0.455, 0.321, 0.977)
Au (0.059, 0.212, 0.142)
Ga (0.300, 0.871, 0.575)
Ga (0.700, 0.129, 0.425)
Au (0.045, 0.321, 0.477)
Au (0.559, 0.788, 0.358)
Au (0.955, 0.679, 0.523)

Properties
Energy   -61.840 eV/cell
DOS at the Fermi energy   6.08 states/eV/cell
ΔH_f (0 K)   -4.5 kJ/mol of atoms
Spin magnetization   0.0 μB per cell
Offset from the most stable computed form   0.0270 eV/atom

---

Look up the energy of the third one.
-27.604 eV/cell

---

Among the records above, which one has the highest DOS at the Fermi energy?
TlGaAu3